Entry 1:
# LiAcSi2Pd2

A geometry-optimized LiAcSi2Pd2 structure (PBE, Alexandria).

Computed properties:
As for the volume: 18.93 Å³/atom. The uncorrected formation energy comes out at -772 meV per atom.

Unit cell a=4.2697 b=4.2697 c=7.1948 alpha=90.00 beta=90.00 gamma=120.00
With the nearest neighbours (Å) after each atom.
Sites, in units of the cell vectors:
1 Li 0.0000 0.0000 0.0000  6 Pd 2.65, 6 Si 2.87
2 Ac 0.0000 0.0000 0.5000  6 Si 3.25, 2 Li 3.60, 6 Pd 3.60
3 Si 0.3333 0.6667 0.7948  4 Pd 2.45-2.52
4 Si 0.6667 0.3333 0.2052  4 Pd 2.45-2.52
5 Pd 0.3333 0.6667 0.1358  4 Si 2.45-2.52, 3 Li 2.65
6 Pd 0.6667 0.3333 0.8642  4 Si 2.45-2.52, 3 Li 2.65

---

Entry 2:
# TaFe2Co

A geometry-optimized TaFe2Co structure (PBE, Alexandria).

Computed properties:
The value obtained for the formation enthalpy at 0 K is -106 meV/atom. As for the volume: 12.55 Å³/atom.

Unit cell a=3.6454 b=3.6454 c=3.7770 alpha=90.00 beta=90.00 gamma=90.00
With the nearest neighbours (Å) after each atom.
Sites, in units of the cell vectors:
1 Ta 0.0000 0.0000 0.0000  4 Co 2.58, 8 Fe 2.62
2 Fe 0.0000 0.5000 0.5000  4 Fe 2.58, 4 Ta 2.62, 4 Co 2.62
3 Fe 0.5000 0.0000 0.5000  4 Fe 2.58, 4 Ta 2.62, 4 Co 2.62
4 Co 0.5000 0.5000 0.0000  4 Ta 2.58, 8 Fe 2.62

---

Entry 3:
# VCdH

A geometry-optimized VCdH structure (PBE, Alexandria).

Computed properties:
As for the volume: 17.62 Å³/atom. The excess energy over the best structure of this formula in the dataset is 1337.7 meV/atom.

Unit cell a=4.6920 b=4.6920 c=2.7719 alpha=90.00 beta=90.00 gamma=120.00
With the nearest neighbours (Å) after each atom.
Sites, in units of the cell vectors:
1 V 0.0000 0.0000 0.0000  3 Cd 2.71, 2 V 2.77
2 Cd 0.6667 0.3333 0.0000  3 V 2.71, 2 Cd 2.77
3 H 0.3333 0.6667 0.5000  2 H 2.77, 6 V 3.04, 6 Cd 3.04

---

Entry 4:
# CuAu2Cl

A geometry-optimized CuAu2Cl structure (PBE, Alexandria).

Computed properties:
As for the volume: 21.14 Å³/atom. The uncorrected formation energy comes out at 160 meV per atom. The excess energy over the best structure of this formula in the dataset is 195.5 meV/atom.

Unit cell a=2.9407 b=6.7077 c=8.5752 alpha=90.00 beta=90.00 gamma=90.00
With the nearest neighbours (Å) after each atom.
Sites, in units of the cell vectors:
1 Cu 0.0000 0.0000 0.0000  2 Cl 2.28, 2 Au 2.54
2 Cu 0.5000 0.5000 0.5000  2 Cl 2.28, 2 Au 2.54
3 Au 0.0000 0.0000 0.5125  4 Au 2.75-2.94, 2 Cl 2.85
4 Au 0.0000 0.5000 0.7417  2 Cu 2.54, 2 Au 2.75
5 Au 0.5000 0.0000 0.2417  2 Cu 2.54, 2 Au 2.75
6 Au 0.5000 0.5000 0.0125  4 Au 2.75-2.94, 2 Cl 2.85
7 Cl 0.0000 0.5000 0.2973  2 Cu 2.28
8 Cl 0.5000 0.0000 0.7973  2 Cu 2.28

---

Entry 5:
# LiGdAsPd

A geometry-optimized LiGdAsPd structure (PBE, Alexandria).

Computed properties:
The value obtained for the formation enthalpy at 0 K is -794 meV/atom. As for the volume: 19.39 Å³/atom.

Unit cell a=6.7697 b=6.7697 c=6.7697 alpha=90.00 beta=90.00 gamma=90.00
With the nearest neighbours (Å) after each atom.
Sites, in units of the cell vectors:
1 Li 0.0000 0.0000 0.0000  4 As 2.93, 4 Pd 2.93
2 Li 0.0000 0.5000 0.5000  4 As 2.93, 4 Pd 2.93
3 Li 0.5000 0.0000 0.5000  4 As 2.93, 4 Pd 2.93
4 Li 0.5000 0.5000 0.0000  4 As 2.93, 4 Pd 2.93
5 Gd 0.0000 0.0000 0.5000  4 As 2.93, 4 Pd 2.93
6 Gd 0.0000 0.5000 0.0000  4 As 2.93, 4 Pd 2.93
7 Gd 0.5000 0.0000 0.0000  4 As 2.93, 4 Pd 2.93
8 Gd 0.5000 0.5000 0.5000  4 As 2.93, 4 Pd 2.93
9 As 0.2500 0.2500 0.2500  4 Gd 2.93, 4 Li 2.93
10 As 0.2500 0.7500 0.7500  4 Gd 2.93, 4 Li 2.93
11 As 0.7500 0.2500 0.7500  4 Gd 2.93, 4 Li 2.93
12 As 0.7500 0.7500 0.2500  4 Gd 2.93, 4 Li 2.93
13 Pd 0.2500 0.2500 0.7500  4 Gd 2.93, 4 Li 2.93
14 Pd 0.2500 0.7500 0.2500  4 Gd 2.93, 4 Li 2.93
15 Pd 0.7500 0.2500 0.2500  4 Gd 2.93, 4 Li 2.93
16 Pd 0.7500 0.7500 0.7500  4 Gd 2.93, 4 Li 2.93

---

Entry 6:
# AgAsBr2

A geometry-optimized AgAsBr2 structure (PBE, Alexandria).

Computed properties:
As for the volume: 23.01 Å³/atom. The uncorrected formation energy comes out at 368 meV per atom. The excess energy over the best structure of this formula in the dataset is 503.6 meV/atom.

Unit cell a=3.4544 b=3.4544 c=7.7138 alpha=90.00 beta=90.00 gamma=90.00
With the nearest neighbours (Å) after each atom.
Sites, in units of the cell vectors:
1 Ag 0.0000 0.0000 0.0000  8 Br 3.05
2 As 0.0000 0.0000 0.5000  8 Br 3.18, 4 As 3.45
3 Br 0.5000 0.5000 0.2363  4 Ag 3.05, 4 As 3.18
4 Br 0.5000 0.5000 0.7637  4 Ag 3.05, 4 As 3.18